AcErMoO6 | PBE with a Hubbard U | relaxed

abc: 5.563 5.563 5.251
angles: 90.00 90.00 120.00
Fractional coordinates of all 9 atoms:
Ac1 0.000 0.000 0.000
Er1 0.333 0.667 0.500
Mo1 0.667 0.333 0.500
O1 0.384 0.036 0.711
O2 0.384 0.348 0.289
O3 0.652 0.036 0.289
O4 0.652 0.616 0.711
O5 0.964 0.348 0.711
O6 0.964 0.616 0.289

Output
SG = P312 (149)
electronic total energy = -7.7843 eV per atom
total moment = 0.00 Bohr magnetons per cell

***

AcErMo2O8 | PBE with a Hubbard U | relaxed

abc: 6.946 6.946 6.946
angles: 134.25 134.25 66.70
Fractional coordinates of all 12 atoms:
Ac1 0.000 0.000 0.000
Er1 0.250 0.750 0.500
Mo1 0.500 0.500 0.000
Mo2 0.750 0.250 0.500
O1 0.004 0.075 0.427
O2 0.272 0.676 0.117
O3 0.324 0.441 0.595
O4 0.423 0.996 0.071
O5 0.559 0.154 0.883
O6 0.648 0.577 0.573
O7 0.846 0.728 0.405
O8 0.925 0.352 0.929

Output
SG = I-4 (82)
electronic total energy = -7.6711 eV per atom
total moment = 2.00 Bohr magnetons per cell